DFT (GGA-PBE) results for crystalline CaBiSe2 at its relaxed geometry.

abc: 9.1792 9.1792 9.1792
angles: 27.23 27.23 27.23
With the nearest neighbours (Å) after each atom.
Element x y z (fractional)
Ca 0.0000 0.0000 0.0000  2 Se 2.81
Bi 0.5000 0.5000 0.5000  6 Se 2.97
Se 0.1062 0.1062 0.1062  1 Ca 2.81, 3 Bi 2.97
Se 0.8938 0.8938 0.8938  1 Ca 2.81, 3 Bi 2.97

Computed properties:
Raw formation energy in eV/atom: -0.565
SG: R-3m
Final energy in hartree per atom: -0.1388
Total moment in μB per formula unit: 0.00